Entry from Alexandria: a geometry-optimized Mg2FeHgBr structure (PBE).

Output
Space group: P4/mmm, No. 123
Formation energy without anion corrections: 14.7 kcal/mol of atoms
VASP energy: -2.09 eV/atom
Magnetization: 0.0 μB per cell

Geometry as extended XYZ:
```
5
Lattice="5.1847 0.0000 0.0000 0.0000 5.1847 0.0000 0.0000 0.0000 4.2686" Properties=species:S:1:pos:R:3 pbc="T T T"
Mg 0.0000 2.5924 0.0000
Mg 2.5924 0.0000 0.0000
Fe 0.0000 0.0000 2.1343
Hg 2.5924 2.5924 2.1343
Br 0.0000 0.0000 0.0000
```